Here is an optimized crystal structure of Sm2ScRhO6 from the Alexandria database. Energies are from GGA-PBE.

a b c (Å): 5.4819 5.8120 7.8909
angles (deg): 90.00 91.23 90.00
Element x y z (fractional)
Sm 0.4788 0.4322 0.2509
Sm 0.0212 0.9322 0.2491
O 0.1909 0.1972 0.0563
Sm 0.5212 0.5678 0.7491
O 0.3844 0.9575 0.7472
O 0.1937 0.1997 0.4413
O 0.1156 0.4575 0.7528
O 0.6937 0.3003 0.9413
Sc 0.0000 0.5000 0.5000
O 0.8844 0.5425 0.2472
O 0.3063 0.6997 0.0587
Rh 0.5000 0.0000 0.5000
Sc 0.5000 0.0000 0.0000
Rh 0.0000 0.5000 0.0000
Sm 0.9788 0.0678 0.7509
O 0.3091 0.6972 0.4437
O 0.8063 0.8003 0.5587
O 0.8091 0.8028 0.9437
O 0.6156 0.0425 0.2527
O 0.6909 0.3028 0.5563

Values from the calculation:
As for the uncorrected formation energy: -2.80 eV per atom. Its magnetization is 0.0 μB/f.u. The crystal system is monoclinic.